(1)
DFT (PBE) results for a relaxed structure of Y6MgIn.

ΔE to the lowest computed polymorph in meV/atom: 0
Formation energy in eV/atom: -0.13
E_tot in eV per atom: -5.52
Density of states at the Fermi level in states/eV/f.u.: 12.43
Calculated volume in Å³ per atom: 29.52

Cell: 4.904 4.904 9.820 Å, 90.00 90.00 90.00°
Fractional positions:
Y 0.000 0.500 0.247
Y 0.500 0.500 0.000
Y 0.000 0.500 0.753
Y 0.500 0.000 0.247
Y 0.500 0.500 0.500
Y 0.500 0.000 0.753
Mg 0.000 0.000 0.500
In 0.000 0.000 0.000

(2)
DFT (PBE) results for a relaxed structure of YMgIn.

Formation energy in eV/atom: 0.22
E_tot in eV per atom: -3.37
Density of states at the Fermi level in states/eV/f.u.: 1.45
Calculated volume in Å³ per atom: 31.16

Cell: 5.094 5.094 5.094 Å, 60.00 60.00 60.00°
Fractional positions:
Y 0.500 0.500 0.500
Mg 0.750 0.750 0.750
In 0.250 0.250 0.250

(3)
DFT (PBE) results for a relaxed structure of YMgIn.

Formation energy in eV/atom: -0.15
E_tot in eV per atom: -3.75
Density of states at the Fermi level in states/eV/f.u.: 2.19
Calculated volume in Å³ per atom: 26.12

Cell: 5.620 5.620 5.620 Å, 144.46 129.81 63.00°
Fractional positions:
In 0.003 0.003 0.000
Mg 0.331 0.331 0.000
Y 0.666 0.666 0.000